The following is a DFT calculation (PBE) of a geometry-optimized ScNi2P structure.

The space group is Imm2 (No. 44) and the conventional cell measures 3.4222, 4.1845 and 7.6645 Å, with angles of 90.00, 90.00 and 90.00 degrees. Symmetry generates all atoms from Sc at (0.0000, 0.0000, 0.0000), Ni at (0.0000, 0.0000, 0.4340), Ni at (0.0000, 0.5000, 0.2207) and P at (0.0000, 0.5000, 0.7588).

The value obtained for the uncorrected energy is -51.1 eV per cell. The formation energy is -562 meV/atom. The crystal system is orthorhombic.